Compound: SrGa2Au2
Source: Alexandria via LeMat-Bulk
Functional: GGA-PBEsol
Structure: relaxed

Calculated values
Theoretical density in g/cm3: 9.91
V in Å³/cell: 208.1
Space-group type: P4/nmm (129)
Total energy in eV/cell: -38.876

Cell: 4.446 4.446 10.525 Å, 90.00 90.00 90.00°
Fractional coordinates of all 10 atoms:
Au: 0.500 0.000 0.630
Au: 0.000 0.500 0.370
Au: 0.000 0.000 0.000
Au: 0.500 0.500 0.000
Ga: 0.000 0.000 0.500
Ga: 0.000 0.500 0.128
Ga: 0.500 0.500 0.500
Ga: 0.500 0.000 0.872
Sr: 0.500 0.000 0.250
Sr: 0.000 0.500 0.750